1.
This record from the Alexandria database describes a relaxed Tb2CeIn2 crystal. The functional is PBE.

Results
Energy relative to the elements: -0.076 eV per atom
Raw total energy: -42.1 eV per cell
Total magnetic moment: 0.00 μB per cell

```
Tb2CeIn2
1.0
5.1574 0.0000 0.0000
-2.5787 4.4664 0.0000
0.0000 0.0000 12.5812
Tb Ce In
4 2 4
direct
0.0000 0.0000 0.0000
0.0000 0.0000 0.5000
0.3333 0.6667 0.2500
0.6667 0.3333 0.7500
0.0000 0.0000 0.2500
0.0000 0.0000 0.7500
0.3333 0.6667 0.6271
0.3333 0.6667 0.8729
0.6667 0.3333 0.1271
0.6667 0.3333 0.3729
```

---

2.
This record from the Alexandria database describes a relaxed Ac12La5Tb2 crystal. The functional is PBE.

Results
Energy relative to the elements: 0.103 eV per atom
Raw total energy: -81.2 eV per cell
Total magnetic moment: 0.00 μB per cell

```
Ac12La5Tb2
1.0
9.6308 -6.3107 0.0000
9.6308 6.3107 0.0000
-1.5398 0.0000 6.5536
Ac La Tb
12 5 2
direct
0.0451 0.5638 0.7964
0.0581 0.0581 0.2726
0.1470 0.6502 0.3708
0.3498 0.8530 0.6292
0.3902 0.3902 0.9931
0.4362 0.9549 0.2036
0.5638 0.0451 0.7964
0.6098 0.6098 0.0069
0.6502 0.1470 0.3708
0.8530 0.3498 0.6292
0.9419 0.9419 0.7274
0.9549 0.4362 0.2036
0.1852 0.1852 0.8576
0.2888 0.2888 0.4398
0.5000 0.5000 0.5000
0.7112 0.7112 0.5602
0.8148 0.8148 0.1424
0.2619 0.7381 0.0000
0.7381 0.2619 0.0000
```

---

3.
This record from the Alexandria database describes a relaxed Pm6Cu2Hg crystal. The functional is PBE.

Results
Energy relative to the elements: -0.170 eV per atom
Raw total energy: -77.1 eV per cell
Total magnetic moment: 0.00 μB per cell

```
Pm6Cu2Hg
1.0
-4.8133 5.0546 5.2225
4.8133 -5.0546 5.2225
4.8133 5.0546 -5.2225
Pm Cu Hg
12 4 2
direct
0.0494 0.2423 0.8071
0.1814 0.2810 0.4624
0.1814 0.7190 0.9004
0.3230 0.0173 0.6943
0.3230 0.6287 0.3057
0.4351 0.2423 0.1929
0.5649 0.7577 0.8071
0.6770 0.3713 0.6943
0.6770 0.9827 0.3057
0.8186 0.2810 0.0996
0.8186 0.7190 0.5376
0.9506 0.7577 0.1929
0.1178 0.6178 0.5000
0.3526 0.0000 0.3526
0.6474 0.0000 0.6474
0.8822 0.3822 0.5000
0.0000 0.0000 0.0000
0.5000 0.5000 0.0000
```

---

4.
This record from the Alexandria database describes a relaxed LiTb8In2 crystal. The functional is PBE.

Results
Energy relative to the elements: -0.123 eV per atom
Raw total energy: -45.8 eV per cell
Total magnetic moment: 0.00 μB per cell

```
LiTb8In2
1.0
8.9387 -2.6335 0.0000
8.9387 2.6335 0.0000
-1.3061 0.0000 6.8189
Li Tb In
1 8 2
direct
0.0000 0.0000 0.0000
0.0944 0.0944 0.4542
0.1569 0.1569 0.9445
0.3127 0.3127 0.7362
0.4757 0.4757 0.2426
0.5243 0.5243 0.7574
0.6873 0.6873 0.2638
0.8431 0.8431 0.0555
0.9056 0.9056 0.5458
0.2992 0.2992 0.2787
0.7008 0.7008 0.7213
```

---

5.
This record from the Alexandria database describes a relaxed HoThCd4 crystal. The functional is PBE.

Results
Energy relative to the elements: -0.238 eV per atom
Raw total energy: -17.1 eV per cell
Total magnetic moment: 0.00 μB per cell

```
HoThCd4
1.0
3.3995 0.0000 0.0000
0.0000 5.0377 0.0000
0.0000 0.0000 8.7593
Ho Th Cd
1 1 4
direct
0.0000 0.0000 0.0000
0.0000 0.5000 0.5000
0.5000 0.0000 0.3269
0.5000 0.0000 0.6731
0.5000 0.5000 0.1615
0.5000 0.5000 0.8385
```

---

6.
This record from the Alexandria database describes a relaxed FeTeRu2 crystal. The functional is PBE.

Results
Formation energy from raw total energies: 0.286 eV per atom
Raw total energy: -29.0 eV per cell
Total magnetic moment: 3.97 μB per cell

```
FeTeRu2
1.0
3.1769 0.0000 0.0000
0.0000 3.1769 0.0000
0.0000 0.0000 6.1776
Fe Te Ru
1 1 2
direct
0.0000 0.0000 0.0000
0.0000 0.0000 0.5000
0.5000 0.5000 0.2300
0.5000 0.5000 0.7700
```

---

7.
This record from the Alexandria database describes a relaxed K2MgCo crystal. The functional is PBE.

Results
Energy relative to the elements: 0.837 eV per atom
Raw total energy: -7.5 eV per cell
Total magnetic moment: 1.99 μB per cell

```
K2MgCo
1.0
3.9385 0.0000 0.0000
0.0000 4.8650 0.0000
-0.0158 0.0000 7.4503
K Mg Co
2 1 1
direct
0.0028 0.0000 0.2710
0.9972 0.0000 0.7290
0.5000 0.5000 0.0000
0.5000 0.5000 0.5000
```

---

8.
This record from the Alexandria database describes a relaxed CsHg2As2 crystal. The functional is PBE.

Results
Energy relative to the elements: -0.135 eV per atom
Raw total energy: -11.4 eV per cell
Total magnetic moment: 0.00 μB per cell

```
CsHg2As2
1.0
-2.7022 2.7022 5.1498
2.7022 -2.7022 5.1498
2.7022 2.7022 -5.1498
Cs Hg As
1 2 2
direct
0.0000 0.0000 0.0000
0.2500 0.7500 0.5000
0.7500 0.2500 0.5000
0.3815 0.3815 0.0000
0.6185 0.6185 0.0000
```

---

9.
This record from the Alexandria database describes a relaxed AcNd7Er2 crystal. The functional is PBE.

Results
Energy relative to the elements: 0.611 eV per atom
Raw total energy: -40.5 eV per cell
Total magnetic moment: 0.00 μB per cell

```
AcNd7Er2
1.0
4.5209 -8.0262 0.0000
4.5209 8.0262 0.0000
0.0000 0.0000 5.8933
Ac Nd Er
1 7 2
direct
0.0000 0.0000 0.0000
0.0610 0.3003 0.5000
0.2387 0.7613 0.0000
0.3003 0.0610 0.5000
0.5000 0.5000 0.5000
0.6997 0.9390 0.5000
0.7613 0.2387 0.0000
0.9390 0.6997 0.5000
0.2969 0.7031 0.5000
0.7031 0.2969 0.5000
```

---

10.
This record from the Alexandria database describes a relaxed SmErGePt crystal. The functional is PBE.

Results
Energy relative to the elements: -0.908 eV per atom
Raw total energy: -23.6 eV per cell
Total magnetic moment: 0.00 μB per cell

```
SmErGePt
1.0
0.0000 3.5647 3.5647
3.5647 0.0000 3.5647
3.5647 3.5647 0.0000
Sm Er Ge Pt
1 1 1 1
direct
0.0000 0.0000 0.0000
0.5000 0.5000 0.5000
0.2500 0.2500 0.2500
0.7500 0.7500 0.7500
```

---

11.
This record from the Alexandria database describes a relaxed HgTePb2O6 crystal. The functional is PBE.

Results
Formation energy from raw total energies: -0.778 eV per atom
Raw total energy: -48.4 eV per cell
Total magnetic moment: 0.00 μB per cell

```
HgTePb2O6
1.0
2.9540 1.7055 5.6432
-2.9540 1.7055 5.6432
0.0000 -3.4110 5.6432
Hg Te Pb O
1 1 2 6
direct
0.0000 0.0000 0.0000
0.4400 0.4400 0.4400
0.2342 0.2342 0.2342
0.7545 0.7545 0.7545
0.0382 0.6405 0.3862
0.1704 0.5434 0.7792
0.3862 0.0382 0.6405
0.5434 0.7792 0.1704
0.6405 0.3862 0.0382
0.7792 0.1704 0.5434
```

---

12.
This record from the Alexandria database describes a relaxed PmGe3Ru3 crystal. The functional is PBE.

Results
Energy relative to the elements: 0.037 eV per atom
Raw total energy: -92.3 eV per cell
Total magnetic moment: 0.00 μB per cell

```
PmGe3Ru3
1.0
6.6838 0.0000 0.0000
0.0000 6.6838 0.0000
0.0000 0.0000 6.6838
Pm Ge Ru
2 6 6
direct
0.0000 0.0000 0.0000
0.5000 0.5000 0.5000
0.0000 0.2500 0.5000
0.0000 0.7500 0.5000
0.2500 0.5000 0.0000
0.5000 0.0000 0.2500
0.5000 0.0000 0.7500
0.7500 0.5000 0.0000
0.0000 0.5000 0.2500
0.0000 0.5000 0.7500
0.2500 0.0000 0.5000
0.5000 0.2500 0.0000
0.5000 0.7500 0.0000
0.7500 0.0000 0.5000
```